(1)
Computed, not measured: crystalline BeCr2Re at its relaxed geometry at the PBE level of DFT.

abc: 2.5314 3.9606 4.8609
angles: 90.00 100.79 90.00
Space group Pm (No. 6)
Unique sites:
Be  0.0000  0.0000  0.0000 x1
Cr  0.5615  0.0000  0.4808 x1
Cr  0.7752  0.5000  0.2409 x1
Re  0.3170  0.5000  0.7539 x1

Results
Energy of formation from the pure elements, eV per atom: 0.065
Size of the total moment, μB/atom: 0.00

(2)
Computed, not measured: crystalline Ac5IrPt2N at its relaxed geometry at the PBE level of DFT.

abc: 4.3403 18.4541 13.2824
angles: 90.00 90.00 90.00
Space group Cmc2_1 (No. 36)
Unique sites:
Ac  0.0000  0.0072  0.0000 x4
Ac  0.0000  0.1472  0.2457 x4
Ac  0.0000  0.1795  0.6168 x4
Ac  0.0000  0.2127  0.9205 x4
Ac  0.0000  0.4673  0.2459 x4
Ir  0.0000  0.3045  0.2708 x4
Pt  0.0000  0.3696  0.5656 x4
Pt  0.0000  0.3917  0.9142 x4
N  0.0000  0.0454  0.6601 x4

Results
Size of the total moment, μB/atom: 0.00
Energy relative to the elements, uncorrected, meV per atom: -918.0